Compound: TaV2BiO8
Source: Alexandria via LeMat-Bulk
Functional: PBE+U
Structure: relaxed

a = 4.760 Å, b = 4.759 Å, c = 6.487 Å
α = 90.01°, β = 90.01°, γ = 88.31°
Element x y z (fractional)
Ta: 0.000 0.000 0.000
V: 0.500 0.500 0.750
V: 0.500 0.500 0.250
Bi: 0.000 0.000 0.500
O: 0.214 0.786 0.217
O: 0.702 0.702 0.000
O: 0.786 0.214 0.217
O: 0.786 0.214 0.783
O: 0.298 0.298 0.000
O: 0.214 0.786 0.783
O: 0.668 0.669 0.500
O: 0.332 0.331 0.500

Calculated values
Crystal system: orthorhombic
Fermi-level density of states (states/eV per cell): 0.02
SG: No. 65

=====

Compound: TaBiW2O10
Source: Alexandria via LeMat-Bulk
Functional: PBE+U
Structure: relaxed

a = 7.624 Å, b = 7.624 Å, c = 3.861 Å
α = 90.00°, β = 90.00°, γ = 119.63°
Element x y z (fractional)
Ta: 0.484 0.484 0.500
Bi: 0.961 0.961 0.500
W: 0.984 0.482 0.500
W: 0.482 0.984 0.500
O: 0.207 0.431 0.500
O: 0.204 0.789 0.500
O: 0.576 0.794 0.500
O: 0.431 0.207 0.500
O: 0.789 0.204 0.500
O: 0.794 0.576 0.500
O: 0.513 0.513 0.000
O: 0.996 0.497 0.000
O: 0.497 0.996 0.000
O: 0.082 0.082 0.000

Calculated values
Crystal system: orthorhombic
Fermi-level density of states (states/eV per cell): 0.51
SG: No. 38

=====

no.,uncorrected energy (eV/f.u.)
1,-94.36
2,-107.85